Entry 1:
## TaSbPb2 (GGA-PBEsol)

Data for a geometry-optimized TaSbPb2 structure.

**Electronic total energy**: -5.9730 eV/atom
**E_form (uncorrected)**: 0.3034 eV per atom
**Crystal system**: orthorhombic

abc: 3.171 4.679 14.145
angles: 90.00 90.00 90.00
Space group Immm (No. 71)
One atom of each set of equivalent atoms:
Ta (0.000, 0.000, 0.000) x2
Sb (0.000, 0.000, 0.500) x2
Pb (0.000, 0.500, 0.312) x4

=====

Entry 2:
## Na2NbPt (GGA-PBEsol)

Data for a geometry-optimized Na2NbPt structure.

**Electronic total energy**: -4.2900 eV/atom
**ΔH_f (0 K)**: 0.86 eV/atom
**Crystal system**: tetragonal
**Energy above the most stable polymorph in this dataset**: 0.0 meV per atom

abc: 8.344 8.344 5.087
angles: 90.00 90.00 90.00
Space group I-42d (No. 122)
One atom of each set of equivalent atoms:
Na (0.207, 0.750, 0.125) x8
Nb (0.000, 0.000, 0.500) x4
Pt (0.000, 0.000, 0.000) x4

=====

Entry 3:
## Zn2FeCu (GGA-PBEsol)

Data for a geometry-optimized Zn2FeCu structure.

**Electronic total energy**: -4.1574 eV/atom
**ΔH_f (0 K)**: -0.04 eV/atom
**Crystal system**: orthorhombic

abc: 3.603 3.627 7.392
angles: 90.00 90.00 90.00
Space group Cmmm (No. 65)
One atom of each set of equivalent atoms:
Zn (0.000, 0.000, 0.248) x4
Fe (0.000, 0.500, 0.000) x2
Cu (0.000, 0.500, 0.500) x2

=====

Entry 4:
## MnCdHg2 (GGA-PBEsol)

Data for a geometry-optimized MnCdHg2 structure.

**Electronic total energy**: -2.7848 eV/atom
**ΔH_f (0 K)**: 0.24 eV/atom
**Crystal system**: monoclinic

abc: 9.335 3.116 5.474
angles: 90.00 102.39 90.00
Space group C2/m (No. 12)
One atom of each set of equivalent atoms:
Mn (0.000, 0.000, 0.000) x2
Cd (0.000, 0.500, 0.500) x2
Hg (0.242, 0.500, 0.235) x4

=====

Entry 5:
## ScIr2Br (GGA-PBEsol)

Data for a geometry-optimized ScIr2Br structure.

**Electronic total energy**: -6.8176 eV/atom
**E_form (uncorrected)**: 0.2129 eV per atom
**Crystal system**: orthorhombic
**Energy above the most stable polymorph in this dataset**: 54.5 meV per atom

abc: 5.712 7.444 3.069
angles: 90.00 90.00 90.00
Space group Cmmm (No. 65)
One atom of each set of equivalent atoms:
Sc (0.000, 0.000, 0.000) x2
Ir (0.250, 0.250, 0.500) x4
Br (0.000, 0.500, 0.000) x2

=====

Entry 6:
## Sr2ScNi (GGA-PBEsol)

Data for a geometry-optimized Sr2ScNi structure.

**Electronic total energy**: -3.5415 eV/atom
**ΔH_f (0 K)**: 0.57 eV/atom
**Crystal system**: cubic
**Energy above the most stable polymorph in this dataset**: 252.3 meV per atom

abc: 7.640 7.640 7.640
angles: 90.00 90.00 90.00
Space group Fm-3m (No. 225)
One atom of each set of equivalent atoms:
Sr (0.250, 0.250, 0.250) x8
Sc (0.000, 0.000, 0.000) x4
Ni (0.000, 0.000, 0.500) x4

=====

Entry 7:
## FeCuRuSe2 (GGA-PBEsol)

Data for a geometry-optimized FeCuRuSe2 structure.

**Electronic total energy**: -5.2295 eV/atom
**E_form (uncorrected)**: 1.0046 eV per atom
**Crystal system**: tetragonal

abc: 4.671 4.671 4.658
angles: 90.00 90.00 90.00
Space group P4/mmm (No. 123)
One atom of each set of equivalent atoms:
Fe (0.000, 0.000, 0.000) x1
Cu (0.500, 0.500, 0.000) x1
Ru (0.000, 0.000, 0.500) x1
Se (0.000, 0.500, 0.500) x2

=====

Entry 8:
## Sc3Pt2 (GGA-PBEsol)

Data for a geometry-optimized Sc3Pt2 structure.

**Electronic total energy**: -7.7870 eV/atom
**ΔH_f (0 K)**: -1.04 eV/atom
**Crystal system**: trigonal

abc: 4.5298 4.5298 5.5660
angles: 90.00 90.00 120.00
Space group P-3m1 (No. 164)
One atom of each set of equivalent atoms:
Sc (0.0000, 0.0000, 0.0000) x1
Sc (0.3333, 0.6667, 0.3423) x2
Pt (0.3333, 0.6667, 0.8346) x2

=====

Entry 9:
## LiBe2Ag (GGA-PBEsol)

Data for a geometry-optimized LiBe2Ag structure.

**Electronic total energy**: -3.2441 eV/atom
**ΔH_f (0 K)**: 0.08 eV/atom
**Crystal system**: cubic
**Energy above the most stable polymorph in this dataset**: 0.0 meV per atom

abc: 5.646 5.646 5.646
angles: 90.00 90.00 90.00
Space group Fm-3m (No. 225)
One atom of each set of equivalent atoms:
Li (0.000, 0.000, 0.000) x4
Be (0.250, 0.250, 0.250) x8
Ag (0.000, 0.000, 0.500) x4

=====

Entry 10:
## ReRuO2 (GGA-PBEsol)

Data for a geometry-optimized ReRuO2 structure.

**Electronic total energy**: -8.9496 eV/atom
**E_form (uncorrected)**: -0.4488 eV per atom
**Crystal system**: trigonal

abc: 2.7376 2.7376 19.9971
angles: 90.00 90.00 120.00
Space group R-3m (No. 166, hexagonal axes)
One atom of each set of equivalent atoms:
Re (0.0000, 0.0000, 0.0000) x3
Ru (0.0000, 0.0000, 0.5000) x3
O (0.0000, 0.0000, 0.1001) x6

=====

Entry 11:
## MnAl (GGA-PBEsol)

Data for a geometry-optimized MnAl structure.

**Electronic total energy**: -5.4311 eV/atom
**ΔH_f (0 K)**: 1.50 eV/atom
**Crystal system**: cubic

abc: 5.672 5.672 5.672
angles: 90.00 90.00 90.00
Space group F-43m (No. 216)
One atom of each set of equivalent atoms:
Mn (0.000, 0.000, 0.000) x4
Al (0.250, 0.250, 0.750) x4

=====

Entry 12:
## ZnCuCl2 (GGA-PBEsol)

Data for a geometry-optimized ZnCuCl2 structure.

**Electronic total energy**: -2.7868 eV/atom
**E_form (uncorrected)**: -0.3039 eV per atom
**Crystal system**: orthorhombic
**Energy above the most stable polymorph in this dataset**: 7.8 meV per atom

abc: 3.194 6.893 8.223
angles: 90.00 90.00 90.00
Space group Imm2 (No. 44)
One atom of each set of equivalent atoms:
Zn (0.000, 0.000, 0.000) x2
Cu (0.000, 0.500, 0.271) x2
Cl (0.000, 0.000, 0.581) x2
Cl (0.000, 0.500, 0.700) x2

=====

Entry 13:
## Li2Ti4O9 (GGA-PBEsol)

Data for a geometry-optimized Li2Ti4O9 structure.

**Electronic total energy**: -8.5308 eV/atom
**E_form (uncorrected)**: -2.8997 eV per atom
**Crystal system**: trigonal

abc: 5.0133 5.0133 13.7804
angles: 90.00 90.00 120.00
Space group P-3c1 (No. 165)
One atom of each set of equivalent atoms:
Li (0.0000, 0.0000, 0.1455) x4
Ti (0.3333, 0.6667, 0.0248) x4
Ti (0.3333, 0.6667, 0.3122) x4
O (0.0000, 0.3383, 0.2500) x6
O (0.0254, 0.3839, 0.9182) x12